Entry 1:
Below is Sm4Dy5Sc after structural relaxation, with properties calculated at the GGA-PBE level.

Geometry as POSCAR:
```
Sm4Dy5Sc
1.0
-2.188 -2.182 1.571
1.715 -7.407 -7.899
7.879 -3.890 1.747
Dy Sm Sc
5 4 1
Direct
0.106 0.713 0.212
0.207 0.403 0.413
0.500 0.500 0.000
0.793 0.597 0.587
0.894 0.287 0.788
0.305 0.084 0.609
0.910 0.806 0.819
0.090 0.194 0.181
0.695 0.916 0.391
0.500 0.000 0.000
```

crystal system = monoclinic
volume = 319 Å³/f.u.
magnetic moment = 0.00 μB per cell
symmetry = C2/m, No. 12
formation energy = 0.114 eV per atom
E_tot = -4.708 eV per atom

Entry 2:
Below is Li3Ho3SnS8 after structural relaxation, with properties calculated at the GGA-PBE level.

Geometry as POSCAR:
```
Li3Ho3SnS8
1.0
-5.198 -3.196 4.778
5.772 -4.295 -2.878
1.413 5.431 5.169
Sn Ho Li S
1 3 3 8
Direct
0.000 0.000 0.500
0.000 0.500 0.500
0.500 0.500 0.500
0.500 0.000 0.500
0.000 0.500 0.000
0.500 0.500 0.000
0.000 0.000 0.000
0.749 0.498 0.747
0.760 0.996 0.256
0.240 0.004 0.744
0.240 0.479 0.744
0.760 0.521 0.256
0.251 0.502 0.253
0.765 0.004 0.744
0.235 0.996 0.256
```

crystal system = trigonal
formation energy without anion corrections = -1544 meV/atom
volume = 321 Å³/f.u.
magnetic moment = 0.00 μB per cell
symmetry = R-3m, No. 166
E_tot = -5.310 eV per atom

Entry 3:
Below is La3Ho6Tm after structural relaxation, with properties calculated at the GGA-PBE level.

Geometry as POSCAR:
```
La3Ho6Tm
1.0
4.413 4.535 7.616
3.530 -5.328 7.563
6.069 -0.561 3.254
La Ho Tm
3 6 1
Direct
0.598 0.598 0.207
0.103 0.103 0.692
0.350 0.350 0.949
0.924 0.606 0.200
0.776 0.094 0.701
0.094 0.429 0.701
0.606 0.271 0.200
0.429 0.776 0.701
0.271 0.924 0.200
0.850 0.850 0.449
```

crystal system = trigonal
volume = 329 Å³/f.u.
magnetic moment = 0.00 μB per cell
symmetry = R-3, No. 148
formation energy = 0.286 eV per atom
E_tot = -4.386 eV per atom

Entry 4:
Below is K2PtAu after structural relaxation, with properties calculated at the GGA-PBE level.

Geometry as POSCAR:
```
K2PtAu
1.0
4.331 0.000 0.000
0.000 4.319 0.027
0.000 4.312 5.728
Pt K Au
1 2 1
Direct
0.500 0.250 0.250
0.000 0.505 0.495
0.000 0.995 0.005
0.500 0.750 0.750
```

crystal system = monoclinic
volume = 107 Å³/f.u.
magnetic moment = 0.00 μB per cell
symmetry = P2/m, No. 10
formation energy = 0.008 eV per atom
E_tot = -2.870 eV per atom

Entry 5:
Below is CsMo3N after structural relaxation, with properties calculated at the GGA-PBE level.

Geometry as POSCAR:
```
CsMo3N
1.0
-3.240 2.844 -0.459
-0.507 -1.243 -4.122
-2.835 -3.027 1.261
Cs N Mo
1 1 3
Direct
0.500 0.500 0.500
0.000 0.000 0.000
0.000 0.500 0.000
0.500 0.000 0.000
0.000 0.000 0.500
```

crystal system = cubic
formation energy without anion corrections = 1338 meV/atom
volume = 81 Å³/f.u.
magnetic moment = 0.30 μB per cell
symmetry = Pm-3m, No. 221
E_tot = -6.996 eV per atom

Entry 6:
Below is InFe2Si after structural relaxation, with properties calculated at the GGA-PBE level.

Geometry as POSCAR:
```
InFe2Si
1.0
3.919 0.000 0.000
0.000 2.905 -0.318
0.000 0.574 5.239
Fe In Si
2 1 1
Direct
0.000 0.125 0.934
0.500 0.125 0.224
0.000 0.625 0.458
0.500 0.625 0.883
```

crystal system = orthorhombic
formation energy without anion corrections = 148 meV/atom
volume = 60 Å³/f.u.
magnetic moment = 4.18 μB per cell
symmetry = Pmm2, No. 25
E_tot = -6.124 eV per atom

Entry 7:
Below is ZrBePd after structural relaxation, with properties calculated at the GGA-PBE level.

Geometry as POSCAR:
```
ZrBePd
1.0
-1.436 1.128 -5.042
-3.869 -3.280 3.220
-2.884 5.393 2.028
Pd Be Zr
4 4 4
Direct
0.808 0.116 0.250
0.308 0.116 0.250
0.192 0.884 0.750
0.692 0.884 0.750
0.590 0.181 0.552
0.410 0.819 0.448
0.910 0.819 0.052
0.090 0.181 0.948
0.680 0.361 0.922
0.320 0.639 0.078
0.820 0.639 0.422
0.180 0.361 0.578
```

crystal system = orthorhombic
volume = 46 Å³/f.u.
magnetic moment = 0.00 μB per cell
symmetry = Cmce, No. 64
formation energy = -0.467 eV per atom
E_tot = -6.289 eV per atom

Entry 8:
Below is ZnPt2I after structural relaxation, with properties calculated at the GGA-PBE level.

Geometry as POSCAR:
```
ZnPt2I
1.0
2.709 3.081 2.279
-1.955 3.600 2.290
0.021 0.085 4.692
Pt Zn I
2 1 1
Direct
0.250 0.250 0.250
0.750 0.750 0.750
0.000 0.000 0.000
0.500 0.500 0.500
```

crystal system = cubic
formation energy without anion corrections = 365 meV/atom
volume = 73 Å³/f.u.
magnetic moment = 0.00 μB per cell
symmetry = Fm-3m, No. 225
E_tot = -3.361 eV per atom